No. 1
BaScP2S | Alexandria via LeMat-Bulk | PBE-GGA | optimized geometry; N(E_F) = 3.6 states/eV per cell; relative energy among the computed polymorphs = 0.000 eV per atom; space-group type = P4/mmm, No. 123
1.0
5.018 0.000 0.000
0.000 5.018 0.000
0.000 0.000 5.084
Ba Sc P S
1 1 2 1
direct
0.000 0.000 0.000
0.500 0.500 0.500
0.000 0.500 0.500
0.500 0.000 0.500
0.500 0.500 0.000

---

No. 2
BaScP2S | Alexandria via LeMat-Bulk | PBE-GGA | optimized geometry; N(E_F) = 2.4 states/eV per cell; relative energy among the computed polymorphs = 1.650 eV per atom; space-group type = P4/mmm, No. 123
1.0
5.354 0.000 0.000
0.000 5.354 0.000
0.000 0.000 5.503
Ba Sc P S
1 1 2 1
direct
0.000 0.000 0.000
0.500 0.500 0.500
0.000 0.500 0.000
0.500 0.000 0.000
0.000 0.000 0.500

---

No. 3
BaScPS2 | Alexandria via LeMat-Bulk | PBE-GGA | optimized geometry; N(E_F) = 4.9 states/eV per cell; relative energy among the computed polymorphs = 0.000 eV per atom; space-group type = P4/mmm, No. 123
1.0
5.042 0.000 0.000
0.000 5.042 0.000
0.000 0.000 5.007
Ba Sc P S
1 1 1 2
direct
0.000 0.000 0.000
0.500 0.500 0.500
0.500 0.500 0.000
0.000 0.500 0.500
0.500 0.000 0.500

---

No. 4
BaScPS2 | Alexandria via LeMat-Bulk | PBE-GGA | optimized geometry; N(E_F) = 2.0 states/eV per cell; relative energy among the computed polymorphs = 1.714 eV per atom; space-group type = P4/mmm, No. 123
1.0
5.511 0.000 0.000
0.000 5.511 0.000
0.000 0.000 5.431
Ba Sc P S
1 1 1 2
direct
0.000 0.000 0.000
0.500 0.500 0.500
0.000 0.000 0.500
0.000 0.500 0.000
0.500 0.000 0.000

---

No. 5
BaP2SeS | Alexandria via LeMat-Bulk | PBE-GGA | optimized geometry; N(E_F) = 3.0 states/eV per cell; relative energy among the computed polymorphs = 0.000 eV per atom; space-group type = P4/mmm, No. 123
1.0
4.912 0.000 0.000
0.000 4.912 0.000
0.000 0.000 5.146
Ba P Se S
1 2 1 1
direct
0.000 0.000 0.000
0.000 0.500 0.500
0.500 0.000 0.500
0.500 0.500 0.500
0.500 0.500 0.000

---

No. 6
BaPSeS2 | Alexandria via LeMat-Bulk | PBE-GGA | optimized geometry; N(E_F) = 4.5 states/eV per cell; relative energy among the computed polymorphs = 0.000 eV per atom; space-group type = P4/mmm, No. 123
1.0
5.044 0.000 0.000
0.000 5.044 0.000
0.000 0.000 4.844
Ba P Se S
1 1 1 2
direct
0.000 0.000 0.000
0.500 0.500 0.000
0.500 0.500 0.500
0.000 0.500 0.500
0.500 0.000 0.500

---

| no. | calculated volume (Å³ per cell) | spin magnetization (μB/atom) |
| --- | --- | --- |
| 1 | 128.0 | 0.000 |
| 2 | 157.8 | 0.000 |
| 3 | 127.3 | 0.000 |
| 4 | 165.0 | 0.003 |
| 5 | 124.2 | 0.000 |
| 6 | 123.2 | 0.000 |